--- P ---
# Ta2OsPd2 PBE-GGA relaxed
data_Ta2OsPd2
_symmetry_space_group_name_H-M 'I 4/m m m'
_symmetry_Int_Tables_number 139
_symmetry_space_group_name_Hall '-I 4 2'
_cell_length_a 3.906
_cell_length_b 3.906
_cell_length_c 11.765
_cell_angle_alpha 90.00
_cell_angle_beta 90.00
_cell_angle_gamma 90.00
loop_
_atom_site_label
_atom_site_type_symbol
_atom_site_fract_x
_atom_site_fract_y
_atom_site_fract_z
Ta1 Ta 0.000 0.500 0.250
Os1 Os 0.000 0.000 0.000
Pd1 Pd 0.000 0.000 0.398
# total magnetization = 1.04 μB/f.u.

--- Q ---
# Ta2OsPd2 PBE-GGA relaxed
data_Ta2OsPd2
_symmetry_space_group_name_H-M 'P 4/m b m'
_symmetry_Int_Tables_number 127
_symmetry_space_group_name_Hall '-P 4 2ab'
_cell_length_a 7.172
_cell_length_b 7.172
_cell_length_c 3.207
_cell_angle_alpha 90.00
_cell_angle_beta 90.00
_cell_angle_gamma 90.00
loop_
_atom_site_label
_atom_site_type_symbol
_atom_site_fract_x
_atom_site_fract_y
_atom_site_fract_z
Ta1 Ta 0.180 0.320 0.000
Os1 Os 0.000 0.000 0.500
Pd1 Pd 0.126 0.626 0.500
# total magnetization = 0.00 μB/f.u.

Which structure loses on stability? P does.

--- P ---
# TaOs3Pd PBE-GGA relaxed
data_TaOs3Pd
_symmetry_space_group_name_H-M 'P m -3 m'
_symmetry_Int_Tables_number 221
_symmetry_space_group_name_Hall '-P 4 2 3'
_cell_length_a 4.616
_cell_length_b 4.616
_cell_length_c 4.616
_cell_angle_alpha 90.00
_cell_angle_beta 90.00
_cell_angle_gamma 90.00
loop_
_atom_site_label
_atom_site_type_symbol
_atom_site_fract_x
_atom_site_fract_y
_atom_site_fract_z
Ta1 Ta 0.000 0.000 0.000
Os1 Os 0.000 0.500 0.500
Pd1 Pd 0.500 0.500 0.500
# total magnetization = 0.02 μB/f.u.

--- Q ---
# TaOs3Pd PBE-GGA relaxed
data_TaOs3Pd
_symmetry_space_group_name_H-M 'P m -3 m'
_symmetry_Int_Tables_number 221
_symmetry_space_group_name_Hall '-P 4 2 3'
_cell_length_a 4.727
_cell_length_b 4.727
_cell_length_c 4.727
_cell_angle_alpha 90.00
_cell_angle_beta 90.00
_cell_angle_gamma 90.00
loop_
_atom_site_label
_atom_site_type_symbol
_atom_site_fract_x
_atom_site_fract_y
_atom_site_fract_z
Ta1 Ta 0.000 0.000 0.000
Os1 Os 0.000 0.000 0.500
Pd1 Pd 0.500 0.500 0.500
# total magnetization = 2.41 μB/f.u.

Which structure loses on stability? P does.

--- P ---
# Ta3OsPd PBE-GGA relaxed
data_Ta3OsPd
_symmetry_space_group_name_H-M 'P m -3 m'
_symmetry_Int_Tables_number 221
_symmetry_space_group_name_Hall '-P 4 2 3'
_cell_length_a 4.810
_cell_length_b 4.810
_cell_length_c 4.810
_cell_angle_alpha 90.00
_cell_angle_beta 90.00
_cell_angle_gamma 90.00
loop_
_atom_site_label
_atom_site_type_symbol
_atom_site_fract_x
_atom_site_fract_y
_atom_site_fract_z
Ta1 Ta 0.000 0.000 0.500
Os1 Os 0.000 0.000 0.000
Pd1 Pd 0.500 0.500 0.500
# total magnetization = 0.00 μB/f.u.

--- Q ---
# Ta3OsPd PBE-GGA relaxed
data_Ta3OsPd
_symmetry_space_group_name_H-M 'P m -3 m'
_symmetry_Int_Tables_number 221
_symmetry_space_group_name_Hall '-P 4 2 3'
_cell_length_a 4.726
_cell_length_b 4.726
_cell_length_c 4.726
_cell_angle_alpha 90.00
_cell_angle_beta 90.00
_cell_angle_gamma 90.00
loop_
_atom_site_label
_atom_site_type_symbol
_atom_site_fract_x
_atom_site_fract_y
_atom_site_fract_z
Ta1 Ta 0.000 0.000 0.500
Os1 Os 0.500 0.500 0.500
Pd1 Pd 0.000 0.000 0.000
# total magnetization = 0.00 μB/f.u.

Which structure loses on stability? Q does.

--- P ---
# TaOsPd3 PBE-GGA relaxed
data_TaOsPd3
_symmetry_space_group_name_H-M 'P m -3 m'
_symmetry_Int_Tables_number 221
_symmetry_space_group_name_Hall '-P 4 2 3'
_cell_length_a 4.726
_cell_length_b 4.726
_cell_length_c 4.726
_cell_angle_alpha 90.00
_cell_angle_beta 90.00
_cell_angle_gamma 90.00
loop_
_atom_site_label
_atom_site_type_symbol
_atom_site_fract_x
_atom_site_fract_y
_atom_site_fract_z
Ta1 Ta 0.000 0.000 0.000
Os1 Os 0.500 0.500 0.500
Pd1 Pd 0.000 0.500 0.500
# total magnetization = 0.00 μB/f.u.

--- Q ---
# TaOsPd3 PBE-GGA relaxed
data_TaOsPd3
_symmetry_space_group_name_H-M 'P m -3 m'
_symmetry_Int_Tables_number 221
_symmetry_space_group_name_Hall '-P 4 2 3'
_cell_length_a 4.730
_cell_length_b 4.730
_cell_length_c 4.730
_cell_angle_alpha 90.00
_cell_angle_beta 90.00
_cell_angle_gamma 90.00
loop_
_atom_site_label
_atom_site_type_symbol
_atom_site_fract_x
_atom_site_fract_y
_atom_site_fract_z
Ta1 Ta 0.000 0.000 0.000
Os1 Os 0.500 0.500 0.500
Pd1 Pd 0.000 0.000 0.500
# total magnetization = 2.05 μB/f.u.

Which structure loses on stability? P does.

--- P ---
# TcOsPd3 PBE-GGA relaxed
data_TcOsPd3
_symmetry_space_group_name_H-M 'P m -3 m'
_symmetry_Int_Tables_number 221
_symmetry_space_group_name_Hall '-P 4 2 3'
_cell_length_a 4.780
_cell_length_b 4.780
_cell_length_c 4.780
_cell_angle_alpha 90.00
_cell_angle_beta 90.00
_cell_angle_gamma 90.00
loop_
_atom_site_label
_atom_site_type_symbol
_atom_site_fract_x
_atom_site_fract_y
_atom_site_fract_z
Tc1 Tc 0.000 0.000 0.000
Os1 Os 0.500 0.500 0.500
Pd1 Pd 0.000 0.500 0.500
# total magnetization = 3.31 μB/f.u.

--- Q ---
# TcOsPd3 PBE-GGA relaxed
data_TcOsPd3
_symmetry_space_group_name_H-M 'P m -3 m'
_symmetry_Int_Tables_number 221
_symmetry_space_group_name_Hall '-P 4 2 3'
_cell_length_a 4.686
_cell_length_b 4.686
_cell_length_c 4.686
_cell_angle_alpha 90.00
_cell_angle_beta 90.00
_cell_angle_gamma 90.00
loop_
_atom_site_label
_atom_site_type_symbol
_atom_site_fract_x
_atom_site_fract_y
_atom_site_fract_z
Tc1 Tc 0.000 0.000 0.000
Os1 Os 0.500 0.500 0.500
Pd1 Pd 0.000 0.000 0.500
# total magnetization = 2.42 μB/f.u.

Which structure loses on stability? Q does.

--- P ---
# TlOs2Pd PBE-GGA relaxed
data_TlOs2Pd
_symmetry_space_group_name_H-M 'F m -3 m'
_symmetry_Int_Tables_number 225
_symmetry_space_group_name_Hall '-F 4 2 3'
_cell_length_a 6.393
_cell_length_b 6.393
_cell_length_c 6.393
_cell_angle_alpha 90.00
_cell_angle_beta 90.00
_cell_angle_gamma 90.00
loop_
_atom_site_label
_atom_site_type_symbol
_atom_site_fract_x
_atom_site_fract_y
_atom_site_fract_z
Tl1 Tl 0.000 0.000 0.000
Os1 Os 0.250 0.250 0.250
Pd1 Pd 0.000 0.000 0.500
# total magnetization = 0.00 μB/f.u.

--- Q ---
# TlOs2Pd PBE-GGA relaxed
data_TlOs2Pd
_symmetry_space_group_name_H-M 'I -4 2 d'
_symmetry_Int_Tables_number 122
_symmetry_space_group_name_Hall 'I -4 2bw'
_cell_length_a 7.553
_cell_length_b 7.553
_cell_length_c 5.155
_cell_angle_alpha 90.00
_cell_angle_beta 90.00
_cell_angle_gamma 90.00
loop_
_atom_site_label
_atom_site_type_symbol
_atom_site_fract_x
_atom_site_fract_y
_atom_site_fract_z
Tl1 Tl 0.000 0.000 0.000
Os1 Os 0.229 0.250 0.625
Pd1 Pd 0.000 0.000 0.500
# total magnetization = 1.10 μB/f.u.

Which structure loses on stability? Q does.

--- P ---
# Tm2OsPd PBE-GGA relaxed
data_Tm2OsPd
_symmetry_space_group_name_H-M 'F m -3 m'
_symmetry_Int_Tables_number 225
_symmetry_space_group_name_Hall '-F 4 2 3'
_cell_length_a 6.800
_cell_length_b 6.800
_cell_length_c 6.800
_cell_angle_alpha 90.00
_cell_angle_beta 90.00
_cell_angle_gamma 90.00
loop_
_atom_site_label
_atom_site_type_symbol
_atom_site_fract_x
_atom_site_fract_y
_atom_site_fract_z
Tm1 Tm 0.250 0.250 0.250
Os1 Os 0.000 0.000 0.000
Pd1 Pd 0.000 0.000 0.500
# total magnetization = 0.00 μB/f.u.

--- Q ---
# Tm2OsPd PBE-GGA relaxed
data_Tm2OsPd
_symmetry_space_group_name_H-M 'P 4/m m m'
_symmetry_Int_Tables_number 123
_symmetry_space_group_name_Hall '-P 4 2'
_cell_length_a 3.402
_cell_length_b 3.402
_cell_length_c 6.838
_cell_angle_alpha 90.00
_cell_angle_beta 90.00
_cell_angle_gamma 90.00
loop_
_atom_site_label
_atom_site_type_symbol
_atom_site_fract_x
_atom_site_fract_y
_atom_site_fract_z
Tm1 Tm 0.000 0.000 0.239
Os1 Os 0.500 0.500 0.000
Pd1 Pd 0.500 0.500 0.500
# total magnetization = 0.00 μB/f.u.

Which structure loses on stability? P does.

--- P ---
# VOsPd2 PBE-GGA relaxed
data_VOsPd2
_symmetry_space_group_name_H-M 'I -4 2 d'
_symmetry_Int_Tables_number 122
_symmetry_space_group_name_Hall 'I -4 2bw'
_cell_length_a 3.677
_cell_length_b 3.677
_cell_length_c 18.457
_cell_angle_alpha 90.00
_cell_angle_beta 90.00
_cell_angle_gamma 90.00
loop_
_atom_site_label
_atom_site_type_symbol
_atom_site_fract_x
_atom_site_fract_y
_atom_site_fract_z
V1 V 0.000 0.000 0.000
Os1 Os 0.000 0.000 0.500
Pd1 Pd 0.250 0.250 0.125
# total magnetization = 0.00 μB/f.u.

--- Q ---
# VOsPd2 PBE-GGA relaxed
data_VOsPd2
_symmetry_space_group_name_H-M 'F m -3 m'
_symmetry_Int_Tables_number 225
_symmetry_space_group_name_Hall '-F 4 2 3'
_cell_length_a 6.210
_cell_length_b 6.210
_cell_length_c 6.210
_cell_angle_alpha 90.00
_cell_angle_beta 90.00
_cell_angle_gamma 90.00
loop_
_atom_site_label
_atom_site_type_symbol
_atom_site_fract_x
_atom_site_fract_y
_atom_site_fract_z
V1 V 0.000 0.000 0.000
Os1 Os 0.000 0.000 0.500
Pd1 Pd 0.250 0.250 0.250
# total magnetization = 0.65 μB/f.u.

Which structure loses on stability? Q does.

--- P ---
# OsPd3W PBE-GGA relaxed
data_OsPd3W
_symmetry_space_group_name_H-M 'P m -3 m'
_symmetry_Int_Tables_number 221
_symmetry_space_group_name_Hall '-P 4 2 3'
_cell_length_a 4.726
_cell_length_b 4.726
_cell_length_c 4.726
_cell_angle_alpha 90.00
_cell_angle_beta 90.00
_cell_angle_gamma 90.00
loop_
_atom_site_label
_atom_site_type_symbol
_atom_site_fract_x
_atom_site_fract_y
_atom_site_fract_z
Os1 Os 0.000 0.000 0.000
Pd1 Pd 0.000 0.500 0.500
W1 W 0.500 0.500 0.500
# total magnetization = 2.25 μB/f.u.

--- Q ---
# OsPd3W PBE-GGA relaxed
data_OsPd3W
_symmetry_space_group_name_H-M 'P m -3 m'
_symmetry_Int_Tables_number 221
_symmetry_space_group_name_Hall '-P 4 2 3'
_cell_length_a 4.703
_cell_length_b 4.703
_cell_length_c 4.703
_cell_angle_alpha 90.00
_cell_angle_beta 90.00
_cell_angle_gamma 90.00
loop_
_atom_site_label
_atom_site_type_symbol
_atom_site_fract_x
_atom_site_fract_y
_atom_site_fract_z
Os1 Os 0.000 0.000 0.000
Pd1 Pd 0.000 0.000 0.500
W1 W 0.500 0.500 0.500
# total magnetization = 0.00 μB/f.u.

Which structure loses on stability? Q does.

--- P ---
# OsPd2W PBE-GGA relaxed
data_OsPd2W
_symmetry_space_group_name_H-M 'F m -3 m'
_symmetry_Int_Tables_number 225
_symmetry_space_group_name_Hall '-F 4 2 3'
_cell_length_a 6.260
_cell_length_b 6.260
_cell_length_c 6.260
_cell_angle_alpha 90.00
_cell_angle_beta 90.00
_cell_angle_gamma 90.00
loop_
_atom_site_label
_atom_site_type_symbol
_atom_site_fract_x
_atom_site_fract_y
_atom_site_fract_z
Os1 Os 0.000 0.000 0.000
Pd1 Pd 0.250 0.250 0.250
W1 W 0.000 0.000 0.500
# total magnetization = 0.00 μB/f.u.

--- Q ---
# OsPd2W PBE-GGA relaxed
data_OsPd2W
_symmetry_space_group_name_H-M 'I -4 2 d'
_symmetry_Int_Tables_number 122
_symmetry_space_group_name_Hall 'I -4 2bw'
_cell_length_a 5.587
_cell_length_b 5.587
_cell_length_c 11.453
_cell_angle_alpha 90.00
_cell_angle_beta 90.00
_cell_angle_gamma 90.00
loop_
_atom_site_label
_atom_site_type_symbol
_atom_site_fract_x
_atom_site_fract_y
_atom_site_fract_z
Os1 Os 0.000 0.000 0.000
Pd1 Pd 0.245 0.250 0.125
W1 W 0.000 0.000 0.500
# total magnetization = 0.00 μB/f.u.

Which structure loses on stability? Q does.

--- P ---
# OsPdW2 PBE-GGA relaxed
data_OsPdW2
_symmetry_space_group_name_H-M 'F m -3 m'
_symmetry_Int_Tables_number 225
_symmetry_space_group_name_Hall '-F 4 2 3'
_cell_length_a 6.303
_cell_length_b 6.303
_cell_length_c 6.303
_cell_angle_alpha 90.00
_cell_angle_beta 90.00
_cell_angle_gamma 90.00
loop_
_atom_site_label
_atom_site_type_symbol
_atom_site_fract_x
_atom_site_fract_y
_atom_site_fract_z
Os1 Os 0.000 0.000 0.000
Pd1 Pd 0.000 0.000 0.500
W1 W 0.250 0.250 0.250
# total magnetization = 0.00 μB/f.u.

--- Q ---
# OsPdW2 PBE-GGA relaxed
data_OsPdW2
_symmetry_space_group_name_H-M 'P 4/m m m'
_symmetry_Int_Tables_number 123
_symmetry_space_group_name_Hall '-P 4 2'
_cell_length_a 3.932
_cell_length_b 3.932
_cell_length_c 3.949
_cell_angle_alpha 90.00
_cell_angle_beta 90.00
_cell_angle_gamma 90.00
loop_
_atom_site_label
_atom_site_type_symbol
_atom_site_fract_x
_atom_site_fract_y
_atom_site_fract_z
Os1 Os 0.000 0.000 0.000
Pd1 Pd 0.500 0.500 0.000
W1 W 0.000 0.500 0.500
# total magnetization = 0.00 μB/f.u.

Which structure loses on stability? P does.

--- P ---
# Os3PdW PBE-GGA relaxed
data_Os3PdW
_symmetry_space_group_name_H-M 'P m -3 m'
_symmetry_Int_Tables_number 221
_symmetry_space_group_name_Hall '-P 4 2 3'
_cell_length_a 4.593
_cell_length_b 4.593
_cell_length_c 4.593
_cell_angle_alpha 90.00
_cell_angle_beta 90.00
_cell_angle_gamma 90.00
loop_
_atom_site_label
_atom_site_type_symbol
_atom_site_fract_x
_atom_site_fract_y
_atom_site_fract_z
Os1 Os 0.000 0.000 0.500
Pd1 Pd 0.000 0.000 0.000
W1 W 0.500 0.500 0.500
# total magnetization = 0.00 μB/f.u.

--- Q ---
# Os3PdW PBE-GGA relaxed
data_Os3PdW
_symmetry_space_group_name_H-M 'P m -3 m'
_symmetry_Int_Tables_number 221
_symmetry_space_group_name_Hall '-P 4 2 3'
_cell_length_a 4.701
_cell_length_b 4.701
_cell_length_c 4.701
_cell_angle_alpha 90.00
_cell_angle_beta 90.00
_cell_angle_gamma 90.00
loop_
_atom_site_label
_atom_site_type_symbol
_atom_site_fract_x
_atom_site_fract_y
_atom_site_fract_z
Os1 Os 0.000 0.000 0.500
Pd1 Pd 0.500 0.500 0.500
W1 W 0.000 0.000 0.000
# total magnetization = 2.67 μB/f.u.

Which structure loses on stability? P does.

--- P ---
# Os2PdW PBE-GGA relaxed
data_Os2PdW
_symmetry_space_group_name_H-M 'P 4/m m m'
_symmetry_Int_Tables_number 123
_symmetry_space_group_name_Hall '-P 4 2'
_cell_length_a 3.936
_cell_length_b 3.936
_cell_length_c 3.824
_cell_angle_alpha 90.00
_cell_angle_beta 90.00
_cell_angle_gamma 90.00
loop_
_atom_site_label
_atom_site_type_symbol
_atom_site_fract_x
_atom_site_fract_y
_atom_site_fract_z
Os1 Os 0.000 0.500 0.000
Pd1 Pd 0.000 0.000 0.500
W1 W 0.500 0.500 0.500
# total magnetization = 0.00 μB/f.u.

--- Q ---
# Os2PdW PBE-GGA relaxed
data_Os2PdW
_symmetry_space_group_name_H-M 'I -4 2 d'
_symmetry_Int_Tables_number 122
_symmetry_space_group_name_Hall 'I -4 2bw'
_cell_length_a 5.850
_cell_length_b 5.850
_cell_length_c 10.461
_cell_angle_alpha 90.00
_cell_angle_beta 90.00
_cell_angle_gamma 90.00
loop_
_atom_site_label
_atom_site_type_symbol
_atom_site_fract_x
_atom_site_fract_y
_atom_site_fract_z
Os1 Os 0.248 0.250 0.125
Pd1 Pd 0.000 0.000 0.500
W1 W 0.000 0.000 0.000
# total magnetization = 0.00 μB/f.u.

Which structure loses on stability? Q does.

--- P ---
# YOs2Pd2 PBE-GGA relaxed
data_YOs2Pd2
_symmetry_space_group_name_H-M 'I 4/m m m'
_symmetry_Int_Tables_number 139
_symmetry_space_group_name_Hall '-I 4 2'
_cell_length_a 3.683
_cell_length_b 3.683
_cell_length_c 13.396
_cell_angle_alpha 90.00
_cell_angle_beta 90.00
_cell_angle_gamma 90.00
loop_
_atom_site_label
_atom_site_type_symbol
_atom_site_fract_x
_atom_site_fract_y
_atom_site_fract_z
Y1 Y 0.000 0.000 0.000
Os1 Os 0.000 0.500 0.250
Pd1 Pd 0.000 0.000 0.400
# total magnetization = 0.00 μB/f.u.

--- Q ---
# YOs2Pd2 PBE-GGA relaxed
data_YOs2Pd2
_symmetry_space_group_name_H-M 'P 4/m b m'
_symmetry_Int_Tables_number 127
_symmetry_space_group_name_Hall '-P 4 2ab'
_cell_length_a 7.875
_cell_length_b 7.875
_cell_length_c 2.752
_cell_angle_alpha 90.00
_cell_angle_beta 90.00
_cell_angle_gamma 90.00
loop_
_atom_site_label
_atom_site_type_symbol
_atom_site_fract_x
_atom_site_fract_y
_atom_site_fract_z
Y1 Y 0.000 0.000 0.000
Os1 Os 0.178 0.322 0.500
Pd1 Pd 0.120 0.620 0.000
# total magnetization = 0.00 μB/f.u.

Which structure loses on stability? Q does.